Computed, not measured: an optimized crystal structure of MoHSe3 at the PBE level of DFT.

a = 4.3145 Å, b = 4.3145 Å, c = 4.3145 Å
α = 90.00°, β = 90.00°, γ = 90.00°
Element x y z (fractional)
Mo 0.0000 0.0000 0.0000
H 0.5000 0.5000 0.5000
Se 0.0000 0.5000 0.5000
Se 0.5000 0.0000 0.5000
Se 0.5000 0.5000 0.0000

crystal system	cubic
spin magnetization	2.4	Bohr magnetons per cell
mass density	6.902	g/cm3
electronic total energy	-3.980	eV per atom
DOS at the Fermi energy	3.73	states/eV per cell